PBE-GGA RbAg3Ru, optimized geometry; total magnetic moment = 2.19 μB per formula unit; formation enthalpy at 0 K = 200.78 kJ per mole of atoms; E above lowest polymorph = 1277.7 meV per atom
1.0
5.532 0.000 0.000
0.000 5.532 0.000
0.000 0.000 5.532
Rb Ag Ru
1 3 1
Direct
0.000 0.000 0.000
0.000 0.000 0.500
0.000 0.500 0.000
0.500 0.000 0.000
0.500 0.500 0.500



PBE-GGA MgSb2Cl, optimized geometry; formation energy (no corrections) = -14.16 kJ/mol of atoms; total magnetic moment = 0.00 μB per formula unit; E above lowest polymorph = 388.1 meV per atom
1.0
3.516 0.000 0.000
0.000 5.294 0.000
0.000 0.000 5.332
Mg Sb Cl
1 2 1
Direct
0.000 0.000 0.000
0.000 0.500 0.500
0.500 0.000 0.500
0.500 0.500 0.000



PBE-GGA Ac12Si3Ir5, optimized geometry; formation energy (no corrections) = -30.39 kJ/mol of atoms; total magnetic moment = 0.00 μB per formula unit
1.0
-9.040 9.040 9.040
9.040 -9.040 9.040
9.040 9.040 -9.040
Ac Si Ir
48 12 20
Direct
0.037 0.213 0.128
0.037 0.325 0.910
0.085 0.713 0.675
0.085 0.872 0.410
0.090 0.628 0.415
0.090 0.963 0.675
0.128 0.037 0.213
0.128 0.590 0.915
0.175 0.213 0.585
0.175 0.463 0.590
0.213 0.128 0.037
0.213 0.585 0.175
0.287 0.325 0.915
0.287 0.463 0.372
0.325 0.910 0.037
0.325 0.915 0.287
0.372 0.287 0.463
0.372 0.585 0.910
0.410 0.085 0.872
0.410 0.825 0.537
0.415 0.090 0.628
0.415 0.825 0.787
0.463 0.372 0.287
0.463 0.590 0.175
0.537 0.410 0.825
0.537 0.628 0.713
0.585 0.175 0.213
0.585 0.910 0.372
0.590 0.175 0.463
0.590 0.915 0.128
0.628 0.415 0.090
0.628 0.713 0.537
0.675 0.085 0.713
0.675 0.090 0.963
0.713 0.537 0.628
0.713 0.675 0.085
0.787 0.415 0.825
0.787 0.872 0.963
0.825 0.537 0.410
0.825 0.787 0.415
0.872 0.410 0.085
0.872 0.963 0.787
0.910 0.037 0.325
0.910 0.372 0.585
0.915 0.128 0.590
0.915 0.287 0.325
0.963 0.675 0.090
0.963 0.787 0.872
0.125 0.250 0.375
0.125 0.375 0.750
0.250 0.375 0.125
0.250 0.875 0.625
0.375 0.125 0.250
0.375 0.750 0.125
0.625 0.250 0.875
0.625 0.875 0.750
0.750 0.125 0.375
0.750 0.625 0.875
0.875 0.625 0.250
0.875 0.750 0.625
0.000 0.000 0.000
0.000 0.000 0.500
0.000 0.500 0.000
0.000 0.500 0.500
0.125 0.750 0.875
0.125 0.875 0.250
0.250 0.125 0.875
0.250 0.625 0.375
0.375 0.250 0.625
0.375 0.625 0.750
0.500 0.000 0.000
0.500 0.000 0.500
0.500 0.500 0.000
0.500 0.500 0.500
0.625 0.375 0.250
0.625 0.750 0.375
0.750 0.375 0.625
0.750 0.875 0.125
0.875 0.125 0.750
0.875 0.250 0.125



PBE-GGA Ba2CrCu, optimized geometry; total magnetic moment = 4.64 μB per formula unit; formation enthalpy at 0 K = 39.79 kJ per mole of atoms; E above lowest polymorph = 58.2 meV per atom
1.0
15.624 0.000 0.000
0.000 4.516 0.000
-1.403 0.000 4.474
Ba Cr Cu
4 2 2
Direct
0.000 0.000 0.000
0.248 0.000 0.749
0.500 0.500 0.000
0.748 0.500 0.749
0.418 0.000 0.418
0.918 0.500 0.418
0.336 0.500 0.338
0.836 0.000 0.338



PBE-GGA FeAgP2Cl, optimized geometry; formation energy (no corrections) = 31.30 kJ/mol of atoms; total magnetic moment = 1.58 μB per formula unit; E above lowest polymorph = 0.0 meV per atom
1.0
4.183 0.000 0.000
0.000 4.183 0.000
0.000 0.000 6.010
Fe Ag P Cl
1 1 2 1
Direct
0.000 0.000 0.000
0.500 0.500 0.500
0.000 0.500 0.000
0.500 0.000 0.000
0.000 0.000 0.500



PBE-GGA Y2Si3NiPt4, optimized geometry; formation energy (no corrections) = -96.62 kJ/mol of atoms; total magnetic moment = 0.00 μB per formula unit
1.0
4.159 0.000 0.000
0.000 4.159 0.000
0.000 0.000 10.039
Y Si Ni Pt
2 3 1 4
Direct
0.000 0.500 0.239
0.500 0.000 0.761
0.000 0.000 0.000
0.000 0.500 0.634
0.500 0.000 0.366
0.500 0.500 0.000
0.000 0.000 0.500
0.000 0.500 0.866
0.500 0.000 0.134
0.500 0.500 0.500



PBE-GGA CaPm2Zn2, optimized geometry; total magnetic moment = 0.00 μB per formula unit; formation enthalpy at 0 K = -20.47 kJ per mole of atoms
1.0
3.686 0.000 0.000
0.000 5.311 0.000
-1.852 0.000 13.739
Ca Pm Zn
2 4 4
Direct
0.142 0.250 0.283
0.858 0.750 0.717
0.048 0.750 0.094
0.230 0.750 0.460
0.770 0.250 0.540
0.952 0.250 0.906
0.359 0.250 0.719
0.454 0.750 0.909
0.546 0.250 0.091
0.641 0.750 0.281



PBE-GGA La2PrEr5Th, optimized geometry; total magnetic moment = 0.00 μB per formula unit; formation enthalpy at 0 K = 26.49 kJ per mole of atoms
1.0
-4.346 4.346 7.801
4.346 -4.346 7.801
4.346 4.346 -7.801
La Pr Er Th
4 2 10 2
Direct
0.117 0.617 0.733
0.383 0.117 0.500
0.617 0.883 0.500
0.883 0.383 0.267
0.250 0.750 0.500
0.750 0.250 0.500
0.000 0.000 0.000
0.075 0.143 0.500
0.143 0.643 0.068
0.357 0.425 0.500
0.425 0.925 0.068
0.500 0.500 0.000
0.575 0.075 0.932
0.643 0.575 0.500
0.857 0.357 0.932
0.925 0.857 0.500
0.250 0.250 0.000
0.750 0.750 0.000



PBE-GGA LiSmAu, optimized geometry; total magnetic moment = 0.00 μB per formula unit; formation enthalpy at 0 K = -47.53 kJ per mole of atoms; E above lowest polymorph = 99.5 meV per atom
1.0
3.777 0.000 0.000
0.000 3.777 0.000
0.000 0.000 9.304
Li Sm Au
2 2 2
Direct
0.000 0.000 0.000
0.500 0.500 0.500
0.000 0.000 0.307
0.500 0.500 0.807
0.000 0.000 0.646
0.500 0.500 0.146



PBE-GGA Mg4MnMo, optimized geometry; total magnetic moment = 0.99 μB per formula unit; formation enthalpy at 0 K = 58.80 kJ per mole of atoms
1.0
0.000 3.887 3.887
3.887 0.000 3.887
3.887 3.887 0.000
Mg Mn Mo
4 1 1
Direct
0.125 0.125 0.125
0.125 0.125 0.624
0.125 0.624 0.125
0.624 0.125 0.125
0.750 0.750 0.750
0.500 0.500 0.500



PBE-GGA Pm4UIr4, optimized geometry; total magnetic moment = 0.00 μB per formula unit; formation enthalpy at 0 K = -52.34 kJ per mole of atoms
1.0
8.695 0.000 0.000
0.000 8.695 0.000
0.000 0.000 6.008
Pm U Ir
8 2 8
Direct
0.058 0.829 0.140
0.171 0.558 0.640
0.329 0.942 0.640
0.442 0.671 0.140
0.558 0.329 0.860
0.671 0.058 0.360
0.829 0.442 0.360
0.942 0.171 0.860
0.250 0.250 0.250
0.750 0.750 0.750
0.004 0.871 0.639
0.129 0.504 0.139
0.371 0.996 0.139
0.496 0.629 0.639
0.504 0.371 0.361
0.629 0.004 0.861
0.871 0.496 0.861
0.996 0.129 0.361



PBE-GGA Mg2IrPd, optimized geometry; total magnetic moment = 0.18 μB per formula unit; formation enthalpy at 0 K = 25.95 kJ per mole of atoms
1.0
2.825 0.000 0.000
0.000 4.923 0.000
0.000 0.000 10.124
Mg Ir Pd
4 2 2
Direct
0.000 0.000 0.247
0.000 0.000 0.753
0.500 0.500 0.253
0.500 0.500 0.747
0.000 0.000 0.500
0.500 0.500 0.000
0.000 0.000 0.000
0.500 0.500 0.500



PBE-GGA Pa2TiPbO8, optimized geometry; formation energy (no corrections) = -284.88 kJ/mol of atoms; total magnetic moment = 0.00 μB per formula unit
1.0
5.026 0.000 0.000
0.000 7.119 0.000
-0.174 0.000 5.025
Pa Ti Pb O
2 1 1 8
Direct
0.000 0.242 0.000
0.000 0.758 0.000
0.500 0.000 0.500
0.500 0.500 0.500
0.172 0.500 0.832
0.201 0.000 0.800
0.304 0.200 0.306
0.304 0.800 0.306
0.696 0.200 0.694
0.696 0.800 0.694
0.799 0.000 0.200
0.828 0.500 0.168



PBE-GGA Ac2CuOsS6, optimized geometry; formation energy (no corrections) = -101.70 kJ/mol of atoms; total magnetic moment = 0.00 μB per formula unit
1.0
6.269 0.000 0.000
-2.516 5.909 0.000
-0.192 -3.360 5.716
Ac Cu Os S
2 1 1 6
Direct
0.000 0.000 0.000
0.491 0.984 0.475
0.707 0.409 0.212
0.228 0.471 0.762
0.009 0.019 0.558
0.058 0.560 0.088
0.399 0.419 0.433
0.472 0.962 0.913
0.572 0.579 0.011
0.910 0.488 0.568



PBE-GGA AcCoH2, optimized geometry; total magnetic moment = 1.53 μB per formula unit; calculated total energy = -4.37 eV/atom
1.0
3.999 0.000 0.000
-2.000 3.463 0.000
0.000 0.000 12.067
Ac Co H
3 3 6
Direct
0.000 0.000 0.000
0.333 0.667 0.667
0.667 0.333 0.333
0.000 0.000 0.500
0.333 0.667 0.167
0.667 0.333 0.833
0.000 0.000 0.219
0.000 0.000 0.781
0.333 0.667 0.448
0.333 0.667 0.886
0.667 0.333 0.114
0.667 0.333 0.552



PBE-GGA Mn2AuSe, optimized geometry; formation energy (no corrections) = 7.01 kJ/mol of atoms; total magnetic moment = 3.35 μB per formula unit
1.0
2.896 0.000 0.000
0.000 2.896 0.000
0.000 0.000 7.925
Mn Au Se
2 1 1
Direct
0.000 0.000 0.000
0.500 0.500 0.211
0.500 0.500 0.764
0.000 0.000 0.376



PBE-GGA Sr2LiAs, optimized geometry; total magnetic moment = 0.00 μB per formula unit; formation enthalpy at 0 K = -32.59 kJ per mole of atoms
1.0
8.831 0.000 0.000
0.000 8.831 0.000
0.000 0.000 7.746
Sr Li As
8 4 4
Direct
0.200 0.250 0.125
0.250 0.700 0.375
0.250 0.800 0.875
0.300 0.250 0.625
0.700 0.750 0.625
0.750 0.200 0.875
0.750 0.300 0.375
0.800 0.750 0.125
0.000 0.000 0.500
0.000 0.500 0.750
0.500 0.000 0.250
0.500 0.500 0.000
0.000 0.000 0.000
0.000 0.500 0.250
0.500 0.000 0.750
0.500 0.500 0.500